1.
## Ba2MnRh (PBE)

Data for an optimized crystal structure of Ba2MnRh.

a = 3.6784 Å, b = 3.6784 Å, c = 9.4015 Å
α = 90.00°, β = 90.00°, γ = 90.00°
Space group P4mm (No. 99)
Symmetry-distinct sites (fractional):
Ba 0.0000 0.0000 0.0000
Ba 0.5000 0.5000 0.4214
Mn 0.0000 0.0000 0.6756
Rh 0.5000 0.5000 0.7425

Calculated values
E above lowest polymorph (meV per atom): 215
DFT formation energy (eV/atom): 0.20
Uncorrected energy (eV per atom): -4.887

***

2.
## TaMo (PBE)

Data for an optimized crystal structure of TaMo.

a = 3.0347 Å, b = 3.0347 Å, c = 26.2552 Å
α = 90.00°, β = 90.00°, γ = 120.00°
Space group R-3m (No. 166, hexagonal axes)
Symmetry-distinct sites (fractional):
Ta 0.0000 0.0000 0.1221
Mo 0.0000 0.0000 0.3711

Calculated values
DFT formation energy (eV/atom): 0.23
Uncorrected energy (eV per atom): -11.114